12
Lattice="-3.5487 3.5487 5.6514 3.5487 -3.5487 5.6514 3.5487 3.5487 -5.6514" Properties=species:S:1:pos:R:3 comment="PBE VIr8Ru3, relaxed" delta_e_f_kj_per_mol_atoms=115.3 vol_a3_per_atom=23.72 m_tot_mub_per_fu=4.0 total_energy_ev_per_atom=-7.791 pbc="T T T"
V 0.0000 0.0000 0.0000
Ir 2.6068 2.6068 -3.6646
Ir 0.9568 -0.9568 3.6780
Ir 0.9419 0.9419 1.9868
Ir -0.9568 0.9568 3.6780
Ir 2.5919 2.5919 1.9735
Ir 0.9419 -0.9419 9.3161
Ir 0.9568 0.9568 7.6249
Ir -0.9419 0.9419 9.3161
Ru 3.5487 0.0000 2.8257
Ru 0.0000 0.0000 5.6514
Ru 0.0000 3.5487 2.8257